Record 1
DFT (PBE) results for a relaxed KLiReF6 crystal.

Magnetic moment in μB per cell: 6.000
N(E_F) in states/eV/f.u.: 0.0
Uncorrected formation energy in eV per formula unit: -22.44

a b c (Å): 5.4215 5.4215 11.5084
angles (deg): 90.00 90.00 120.00
Space group P-31c (No. 163)
Asymmetric unit:
K (0.0000, 0.0000, 0.0000) (multiplicity 2)
Li (0.3333, 0.6667, 0.2500) (multiplicity 2)
Re (0.3333, 0.6667, 0.7500) (multiplicity 2)
F (0.0148, 0.3739, 0.6550) (multiplicity 12)

=====

Record 2
DFT (PBE) results for a relaxed K2Li3ReF12 crystal.

Magnetic moment in μB per cell: 7.900
N(E_F) in states/eV/f.u.: 16.4
Uncorrected formation energy in eV per formula unit: -41.11

a b c (Å): 6.9143 6.9143 21.9019
angles (deg): 90.00 90.00 120.00
Space group R-3m (No. 166, hexagonal axes)
Asymmetric unit:
K (0.0000, 0.0000, 0.0751) (multiplicity 6)
Li (0.0000, 0.5000, 0.0000) (multiplicity 9)
Re (0.0000, 0.0000, 0.5000) (multiplicity 3)
F (0.0628, 0.5314, 0.3595) (multiplicity 18)
F (0.0742, 0.5371, 0.1179) (multiplicity 18)

=====

Record 3
DFT (PBE) results for a relaxed KLi2ReF8 crystal.

Magnetic moment in μB per cell: 7.032
N(E_F) in states/eV/f.u.: 13.8
Uncorrected formation energy in eV per formula unit: -28.75

a b c (Å): 5.0416 5.0416 22.9457
angles (deg): 90.00 90.00 120.00
Space group R-3 (No. 148, hexagonal axes)
Asymmetric unit:
K (0.0000, 0.0000, 0.0000) (multiplicity 3)
Li (0.0000, 0.0000, 0.2609) (multiplicity 6)
Re (0.0000, 0.0000, 0.5000) (multiplicity 3)
F (0.0000, 0.0000, 0.3370) (multiplicity 6)
F (0.0151, 0.3176, 0.4508) (multiplicity 18)

=====

Record 4
DFT (PBE) results for a relaxed KLi2RhF8 crystal.

Magnetic moment in μB per cell: 2.002
N(E_F) in states/eV/f.u.: 13.2
Uncorrected formation energy in eV per formula unit: -25.04

a b c (Å): 5.0899 5.0899 7.9151
angles (deg): 90.00 90.00 120.00
Space group P-3 (No. 147)
Asymmetric unit:
K (0.0000, 0.0000, 0.0000) (multiplicity 1)
Li (0.3333, 0.6667, 0.7395) (multiplicity 2)
Rh (0.0000, 0.0000, 0.5000) (multiplicity 1)
F (0.0041, 0.3043, 0.6464) (multiplicity 6)
F (0.3333, 0.6667, 0.9682) (multiplicity 2)